1.
The following is a DFT calculation (meta-GGA SCAN) of Cd4Ag at its PBEsol-relaxed geometry.

Output
The energy relative to the elements comes out at 9 meV/atom. The value obtained for the total moment is 0.00 μB per formula unit. For the offset from the most stable computed form, the calculation gives 0.05 eV/f.u. The space group is R-3m (166).

Cell: 12.129 12.129 12.129 Å, 14.57 14.57 14.57°
Positions (direct):
Cd (0.103, 0.103, 0.103)
Cd (0.299, 0.299, 0.299)
Cd (0.701, 0.701, 0.701)
Cd (0.897, 0.897, 0.897)
Ag (0.500, 0.500, 0.500)



2.
The following is a DFT calculation (meta-GGA SCAN) of LaTa2Rh at its PBEsol-relaxed geometry.

Output
The energy relative to the elements comes out at -85 meV/atom. The value obtained for the total moment is 0.00 μB per formula unit. For the offset from the most stable computed form, the calculation gives 0.00 eV/f.u. The space group is P4mm (99).

Cell: 3.141 3.141 8.076 Å, 90.00 90.00 90.00°
Positions (direct):
La (0.000, 0.000, 0.000)
Ta (0.000, 0.000, 0.465)
Ta (0.500, 0.500, 0.694)
Rh (0.500, 0.500, 0.290)



3.
The following is a DFT calculation (meta-GGA SCAN) of Sn3IrC at its PBEsol-relaxed geometry.

Output
The energy relative to the elements comes out at 1299 meV/atom. The value obtained for the total moment is 1.07 μB per formula unit. The space group is Pm-3m (221).

Cell: 5.026 5.026 5.026 Å, 90.00 90.00 90.00°
Positions (direct):
Sn (0.000, 0.000, 0.500)
Sn (0.000, 0.500, 0.000)
Sn (0.500, 0.000, 0.000)
Ir (0.000, 0.000, 0.000)
C (0.500, 0.500, 0.500)



4.
The following is a DFT calculation (meta-GGA SCAN) of YCd3Pb at its PBEsol-relaxed geometry.

Output
The energy relative to the elements comes out at 750 meV/atom. The value obtained for the total moment is 0.00 μB per formula unit. The space group is Pm-3m (221).

Cell: 5.598 5.598 5.598 Å, 90.00 90.00 90.00°
Positions (direct):
Y (0.000, 0.000, 0.000)
Cd (0.000, 0.000, 0.500)
Cd (0.000, 0.500, 0.000)
Cd (0.500, 0.000, 0.000)
Pb (0.500, 0.500, 0.500)



5.
The following is a DFT calculation (meta-GGA SCAN) of TaCo2Br at its PBEsol-relaxed geometry.

Output
The value obtained for the total moment is 0.01 μB per formula unit. The formation energy from raw total energies is 988 meV per atom. For the offset from the most stable computed form, the calculation gives 2.65 eV/f.u. The space group is P4/mmm (123).

Cell: 4.411 4.411 2.891 Å, 90.00 90.00 90.00°
Positions (direct):
Ta (0.000, 0.000, 0.000)
Co (0.000, 0.500, 0.500)
Co (0.500, 0.000, 0.500)
Br (0.500, 0.500, 0.000)



6.
The following is a DFT calculation (meta-GGA SCAN) of La2TaNi at its PBEsol-relaxed geometry.

Output
The energy relative to the elements comes out at 123 meV/atom. The value obtained for the total moment is 0.00 μB per formula unit. For the offset from the most stable computed form, the calculation gives 0.00 eV/f.u. The space group is Imm2 (44).

Cell: 6.255 6.255 6.255 Å, 148.85 132.15 58.20°
Positions (direct):
La (0.000, 0.000, 0.000)
La (0.701, 0.201, 0.500)
Ta (0.413, 0.413, 0.000)
Ni (0.258, 0.758, 0.500)



7.
The following is a DFT calculation (meta-GGA SCAN) of MnCoW2 at its PBEsol-relaxed geometry.

Output
The energy relative to the elements comes out at 176 meV/atom. The value obtained for the total moment is 1.34 μB per formula unit. For the offset from the most stable computed form, the calculation gives 0.00 eV/f.u. The space group is Cmmm (65).

Cell: 2.639 2.639 7.653 Å, 90.00 90.00 99.95°
Positions (direct):
Mn (0.000, 0.000, 0.000)
Co (0.000, 0.000, 0.500)
W (0.500, 0.500, 0.257)
W (0.500, 0.500, 0.743)



8.
The following is a DFT calculation (meta-GGA SCAN) of PPd3Pb at its PBEsol-relaxed geometry.

Output
The energy relative to the elements comes out at 1150 meV/atom. The value obtained for the total moment is 0.00 μB per formula unit. For the offset from the most stable computed form, the calculation gives 7.25 eV/f.u. The space group is Pm-3m (221).

Cell: 4.918 4.918 4.918 Å, 90.00 90.00 90.00°
Positions (direct):
P (0.000, 0.000, 0.000)
Pd (0.000, 0.500, 0.500)
Pd (0.500, 0.000, 0.500)
Pd (0.500, 0.500, 0.000)
Pb (0.500, 0.500, 0.500)